{"formula": "AcGe3Au", "functional": "PBE", "state": "relaxed", "cell": [[-4.121, 1.138, 1.508], [-0.095, -3.745, 2.568], [4.846, 7.716, 7.415]], "species": ["Ac", "Ac", "Ge", "Ge", "Ge", "Ge", "Ge", "Ge", "Au", "Au"], "frac_coords": [[0.500, 0.832, 0.663], [0.500, 0.168, 0.337], [0.000, 0.724, 0.449], [0.000, 0.946, 0.891], [0.000, 0.276, 0.551], [0.500, 0.446, 0.892], [0.500, 0.554, 0.108], [0.000, 0.054, 0.109], [0.000, 0.387, 0.774], [0.000, 0.613, 0.226]], "rho_g_cm3": 9.0, "sg": "Cmmm", "formation_enthalpy_0k_mev_per_atom": -408, "total_energy_ev_per_cell": -46.56}